# NdCd2Hg4 PBE optimized geometry
# electronic total energy = -1.20 eV/atom
# distance to the lowest polymorph of the same formula = 0.92 eV/f.u.
# calculated density = 9.61 g cm⁻³
# energy of formation from the pure elements = -54 kJ/mol of formula units
# Fermi-level density of states = 0.622 states/eV per atom
data_NdCd2Hg4
_cell_length_a 4.5319
_cell_length_b 4.5319
_cell_length_c 34.1246
_cell_angle_alpha 90.00
_cell_angle_beta 90.00
_cell_angle_gamma 120.00
_space_group_name_H-M_alt 'R -3 m'
_space_group_IT_number 166
_space_group_name_Hall '-R 3 2"'
loop_
_atom_site_label
_atom_site_type_symbol
_atom_site_fract_x
_atom_site_fract_y
_atom_site_fract_z
_atom_site_occupancy
Nd1 Nd 0.0000 0.0000 0.0000 1
Cd1 Cd 0.0000 0.0000 0.1890 1
Hg1 Hg 0.0000 0.0000 0.0987 1
Hg2 Hg 0.0000 0.0000 0.2804 1

=====

# Ba8Pt3Rh PBE optimized geometry
# electronic total energy = -3.93 eV/atom
# calculated density = 5.43 g cm⁻³
# energy of formation from the pure elements = -604 kJ/mol of formula units
# Fermi-level density of states = 0.623 states/eV per atom
data_Ba8Pt3Rh
_cell_length_a 15.703
_cell_length_b 9.251
_cell_length_c 9.094
_cell_angle_alpha 90.00
_cell_angle_beta 124.15
_cell_angle_gamma 90.00
_space_group_name_H-M_alt 'C 1 2/m 1'
_space_group_IT_number 12
_space_group_name_Hall '-C 2y'
loop_
_atom_site_label
_atom_site_type_symbol
_atom_site_fract_x
_atom_site_fract_y
_atom_site_fract_z
_atom_site_occupancy
Ba1 Ba 0.007 0.246 0.240 1
Ba2 Ba 0.239 0.000 0.252 1
Ba3 Ba 0.242 0.500 0.257 1
Pt1 Pt 0.000 0.500 0.000 1
Pt2 Pt 0.250 0.250 0.500 1
Rh1 Rh 0.000 0.000 0.000 1

=====

# InSn2Pb6 PBE optimized geometry
# electronic total energy = -3.65 eV/atom
# distance to the lowest polymorph of the same formula = 0.00 eV/f.u.
# calculated density = 9.71 g cm⁻³
# energy of formation from the pure elements = 16 kJ/mol of formula units
# Fermi-level density of states = 0.395 states/eV per atom
data_InSn2Pb6
_cell_length_a 11.791
_cell_length_b 3.583
_cell_length_c 14.105
_cell_angle_alpha 90.00
_cell_angle_beta 113.71
_cell_angle_gamma 90.00
_space_group_name_H-M_alt 'C 1 2/m 1'
_space_group_IT_number 12
_space_group_name_Hall '-C 2y'
loop_
_atom_site_label
_atom_site_type_symbol
_atom_site_fract_x
_atom_site_fract_y
_atom_site_fract_z
_atom_site_occupancy
In1 In 0.000 0.000 0.000 1
Sn1 Sn 0.163 0.500 0.213 1
Pb1 Pb 0.007 0.000 0.333 1
Pb2 Pb 0.166 0.500 0.888 1
Pb3 Pb 0.172 0.500 0.565 1

=====

# RbTaAs2 PBE optimized geometry
# electronic total energy = -5.73 eV/atom
# distance to the lowest polymorph of the same formula = 0.56 eV/f.u.
# calculated density = 4.70 g cm⁻³
# energy of formation from the pure elements = -79 kJ/mol of formula units
# Fermi-level density of states = 0.000 states/eV per atom
data_RbTaAs2
_cell_length_a 7.345
_cell_length_b 7.345
_cell_length_c 10.910
_cell_angle_alpha 90.00
_cell_angle_beta 90.00
_cell_angle_gamma 90.00
_space_group_name_H-M_alt 'I -4 2 d'
_space_group_IT_number 122
_space_group_name_Hall 'I -4 2bw'
loop_
_atom_site_label
_atom_site_type_symbol
_atom_site_fract_x
_atom_site_fract_y
_atom_site_fract_z
_atom_site_occupancy
Rb1 Rb 0.000 0.000 0.000 1
Ta1 Ta 0.000 0.000 0.500 1
As1 As 0.121 0.250 0.625 1